# 1
Density functional theory data (PBEsol) for a geometry-optimized TcTeCl2 structure. Values from VASP.

```
&SYSTEM
  ibrav = 0, nat = 4, ntyp = 3
/
ATOMIC_SPECIES
Tc 98.00 Tc.upf
Te 127.60 Te.upf
Cl 35.45 Cl.upf
CELL_PARAMETERS angstrom
2.9895 -4.3723 0.0000
2.9895 4.3723 0.0000
0.0000 0.0000 3.0957
ATOMIC_POSITIONS angstrom
Tc 0.0000 0.0000 0.0000
Te 2.9895 0.0000 0.0000
Cl 1.4947 2.1861 1.5479
Cl 1.4947 -2.1861 1.5479
```

polymorph energy (0 for the lowest one)	2.81	eV per formula unit
DOS(E_F)	2.61	states/eV/cell
spin magnetization	3.46	Bohr magnetons per cell

---

# 2
Density functional theory data (PBEsol) for a geometry-optimized NiAgTe structure. Values from VASP.

```
&SYSTEM
  ibrav = 0, nat = 3, ntyp = 3
/
ATOMIC_SPECIES
Ni 58.69 Ni.upf
Ag 107.87 Ag.upf
Te 127.60 Te.upf
CELL_PARAMETERS angstrom
0.0000 3.0178 3.0178
3.0178 0.0000 3.0178
3.0178 3.0178 0.0000
ATOMIC_POSITIONS angstrom
Ni 0.0000 0.0000 0.0000
Ag 1.5089 1.5089 1.5089
Te 4.5268 4.5268 4.5268
```

polymorph energy (0 for the lowest one)	0.00	eV per formula unit
DOS(E_F)	1.64	states/eV/cell
spin magnetization	0.00	Bohr magnetons per cell

---

# 3
Density functional theory data (PBEsol) for a geometry-optimized NaTlO2 structure. Values from VASP.

```
&SYSTEM
  ibrav = 0, nat = 8, ntyp = 3
/
ATOMIC_SPECIES
Na 22.99 Na.upf
Tl 204.38 Tl.upf
O 16.00 O.upf
CELL_PARAMETERS angstrom
-2.6565 2.6565 4.8120
2.6565 -2.6565 4.8120
2.6565 2.6565 -4.8120
ATOMIC_POSITIONS angstrom
Na 0.0000 0.0000 0.0000
Na 0.0000 2.6565 2.4060
Tl 2.6565 0.0000 2.4060
Tl 0.0000 0.0000 4.8120
O 1.3282 -1.2067 3.6090
O 1.4498 1.3282 1.2030
O 1.3282 3.8631 -1.2030
O 1.2067 1.3282 6.0150
```

final energy	-4.6149	eV/atom
spin magnetization	0.00	Bohr magnetons per cell

---

# 4
Density functional theory data (PBEsol) for a geometry-optimized RbTl2Ag2 structure. Values from VASP.

```
&SYSTEM
  ibrav = 0, nat = 5, ntyp = 3
/
ATOMIC_SPECIES
Rb 85.47 Rb.upf
Tl 204.38 Tl.upf
Ag 107.87 Ag.upf
CELL_PARAMETERS angstrom
-2.5685 2.5685 5.4135
2.5685 -2.5685 5.4135
2.5685 2.5685 -5.4135
ATOMIC_POSITIONS angstrom
Rb 0.0000 0.0000 0.0000
Tl 0.0000 0.0000 3.8732
Tl 0.0000 0.0000 6.9537
Ag 2.5685 0.0000 2.7067
Ag 0.0000 2.5685 2.7067
```

ΔH_f (0 K)	0.051	eV/atom
DOS(E_F)	1.72	states/eV/cell
spin magnetization	0.00	Bohr magnetons per cell

---

# 5
Density functional theory data (PBEsol) for a geometry-optimized GaP3W structure. Values from VASP.

```
&SYSTEM
  ibrav = 0, nat = 5, ntyp = 3
/
ATOMIC_SPECIES
Ga 69.72 Ga.upf
P 30.97 P.upf
W 183.84 W.upf
CELL_PARAMETERS angstrom
4.6878 0.0000 0.0000
0.0000 4.6878 0.0000
0.0000 0.0000 4.6878
ATOMIC_POSITIONS angstrom
Ga 0.0000 0.0000 0.0000
P 0.0000 2.3439 2.3439
P 2.3439 0.0000 2.3439
P 2.3439 2.3439 0.0000
W 2.3439 2.3439 2.3439
```

ΔH_f (0 K)	0.479	eV/atom
DOS(E_F)	3.61	states/eV/cell
spin magnetization	0.00	Bohr magnetons per cell

---

# 6
Density functional theory data (PBEsol) for a geometry-optimized Al2CoTe structure. Values from VASP.

```
&SYSTEM
  ibrav = 0, nat = 4, ntyp = 3
/
ATOMIC_SPECIES
Al 26.98 Al.upf
Co 58.93 Co.upf
Te 127.60 Te.upf
CELL_PARAMETERS angstrom
3.9199 -1.7576 0.0000
3.9199 1.7576 0.0000
-1.2299 0.0000 5.0873
ATOMIC_POSITIONS angstrom
Al 1.5253 0.0000 0.8150
Al 5.0846 0.0000 4.2723
Co 3.9199 0.0000 0.0000
Te -0.6149 0.0000 2.5436
```

final energy	-4.7658	eV/atom
DOS(E_F)	2.38	states/eV/cell
spin magnetization	0.00	Bohr magnetons per cell

---

# 7
Density functional theory data (PBEsol) for a geometry-optimized V3CoP4O16 structure. Values from VASP.

```
&SYSTEM
  ibrav = 0, nat = 24, ntyp = 4
/
ATOMIC_SPECIES
V 50.94 V.upf
Co 58.93 Co.upf
P 30.97 P.upf
O 16.00 O.upf
CELL_PARAMETERS angstrom
4.7580 0.0000 0.0000
0.0000 5.7012 0.0000
-0.0541 0.0000 9.8238
ATOMIC_POSITIONS angstrom
V 0.0000 0.0000 0.0000
V 0.3472 2.8506 5.3361
V 2.7445 0.0000 4.9438
Co 2.4129 2.8506 0.4349
P 0.6614 0.0000 6.6945
P 2.0555 0.0000 1.7464
P 3.0316 2.8506 3.5790
P 4.5809 2.8506 8.5017
O 1.0109 0.0000 8.1675
O 1.3065 1.1768 1.0277
O 1.3065 4.5243 1.0277
O 1.3255 2.8506 8.6448
O 1.3675 1.1885 5.9138
O 1.3675 4.5126 5.9138
O 1.5353 2.8506 3.8460
O 1.8212 0.0000 3.2558
O 3.3847 2.8506 2.1224
O 3.5532 0.0000 1.4812
O 3.7412 1.6628 4.3795
O 3.7412 4.0384 4.3795
O 3.8851 1.6347 9.2447
O 3.8851 4.0665 9.2447
O 3.9202 0.0000 6.4614
O 4.1849 2.8506 7.0215
```

final energy	-8.0660	eV/atom
DOS(E_F)	20.54	states/eV/cell
spin magnetization	7.90	Bohr magnetons per cell

---

# 8
Density functional theory data (PBEsol) for a geometry-optimized K2FeSbPt structure. Values from VASP.

```
&SYSTEM
  ibrav = 0, nat = 5, ntyp = 4
/
ATOMIC_SPECIES
K 39.10 K.upf
Fe 55.84 Fe.upf
Sb 121.76 Sb.upf
Pt 195.08 Pt.upf
CELL_PARAMETERS angstrom
6.6123 0.0000 0.0000
0.0000 6.6123 0.0000
0.0000 0.0000 4.8304
ATOMIC_POSITIONS angstrom
K 0.0000 3.3061 0.0000
K 3.3061 0.0000 0.0000
Fe 0.0000 0.0000 2.4152
Sb 3.3061 3.3061 0.0000
Pt 3.3061 3.3061 2.4152
```

final energy	-3.6574	eV/atom
DOS(E_F)	11.21	states/eV/cell
spin magnetization	3.53	Bohr magnetons per cell

---

# 9
Density functional theory data (PBEsol) for a geometry-optimized Li2Tl structure. Values from VASP.

```
&SYSTEM
  ibrav = 0, nat = 6, ntyp = 2
/
ATOMIC_SPECIES
Li 6.94 Li.upf
Tl 204.38 Tl.upf
CELL_PARAMETERS angstrom
5.2195 -1.7230 0.0000
5.2195 1.7230 0.0000
-2.1198 0.0000 6.5252
ATOMIC_POSITIONS angstrom
Li -0.3931 0.0000 1.8816
Li 1.5807 0.0000 6.1538
Li 6.7386 0.0000 0.3714
Li 8.7123 0.0000 4.6436
Tl 2.5712 0.0000 2.3770
Tl 5.7480 0.0000 4.1482
```

ΔH_f (0 K)	-0.204	eV/atom
DOS(E_F)	1.68	states/eV/cell
spin magnetization	0.00	Bohr magnetons per cell

---

# 10
Density functional theory data (PBEsol) for a geometry-optimized CrFe3N structure. Values from VASP.

```
&SYSTEM
  ibrav = 0, nat = 5, ntyp = 3
/
ATOMIC_SPECIES
Cr 52.00 Cr.upf
Fe 55.84 Fe.upf
N 14.01 N.upf
CELL_PARAMETERS angstrom
3.6814 0.0000 0.0000
0.0000 3.6814 0.0000
0.0000 0.0000 3.6814
ATOMIC_POSITIONS angstrom
Cr 0.0000 0.0000 0.0000
Fe 0.0000 1.8407 1.8407
Fe 1.8407 0.0000 1.8407
Fe 1.8407 1.8407 0.0000
N 1.8407 1.8407 1.8407
```

final energy	-9.1786	eV/atom
DOS(E_F)	5.73	states/eV/cell
spin magnetization	0.21	Bohr magnetons per cell

---

# 11
Density functional theory data (PBEsol) for a geometry-optimized CrRh5 structure. Values from VASP.

```
&SYSTEM
  ibrav = 0, nat = 6, ntyp = 2
/
ATOMIC_SPECIES
Cr 52.00 Cr.upf
Rh 102.91 Rh.upf
CELL_PARAMETERS angstrom
2.6514 0.0000 0.0000
0.0000 2.6514 0.0000
0.0000 0.0000 11.1595
ATOMIC_POSITIONS angstrom
Cr 0.0000 0.0000 0.0000
Rh 0.0000 0.0000 3.7091
Rh 0.0000 0.0000 7.4504
Rh 1.3257 1.3257 1.7302
Rh 1.3257 1.3257 5.5797
Rh 1.3257 1.3257 9.4293
```

ΔH_f (0 K)	-0.041	eV/atom
DOS(E_F)	6.58	states/eV/cell
spin magnetization	0.00	Bohr magnetons per cell

---

# 12
Density functional theory data (PBEsol) for a geometry-optimized GeSbMo3 structure. Values from VASP.

```
&SYSTEM
  ibrav = 0, nat = 5, ntyp = 3
/
ATOMIC_SPECIES
Ge 72.64 Ge.upf
Sb 121.76 Sb.upf
Mo 95.94 Mo.upf
CELL_PARAMETERS angstrom
4.8362 0.0000 0.0000
0.0000 4.8362 0.0000
0.0000 0.0000 4.8362
ATOMIC_POSITIONS angstrom
Ge 0.0000 0.0000 0.0000
Sb 2.4181 2.4181 2.4181
Mo 0.0000 2.4181 2.4181
Mo 2.4181 0.0000 2.4181
Mo 2.4181 2.4181 0.0000
```

final energy	-6.7940	eV/atom
DOS(E_F)	6.55	states/eV/cell
spin magnetization	0.00	Bohr magnetons per cell

---

# 13
Density functional theory data (PBEsol) for a geometry-optimized Be3Mo structure. Values from VASP.

```
&SYSTEM
  ibrav = 0, nat = 16, ntyp = 2
/
ATOMIC_SPECIES
Be 9.01 Be.upf
Mo 95.94 Mo.upf
CELL_PARAMETERS angstrom
4.8289 0.0000 0.0000
-2.4144 4.1819 0.0000
0.0000 0.0000 7.8035
ATOMIC_POSITIONS angstrom
Be -1.2072 2.0910 0.0000
Be -1.2072 2.0910 3.9018
Be 0.0000 1.4640 1.9509
Be -1.1466 3.4499 1.9509
Be 1.2679 0.7320 5.8527
Be 2.4144 0.0000 0.0000
Be 2.4144 0.0000 3.9018
Be 1.2072 2.0910 0.0000
Be 1.2072 2.0910 3.9018
Be 1.1466 3.4499 1.9509
Be 3.5610 0.7320 5.8527
Be 2.4144 2.7179 5.8527
Mo 0.0000 0.0000 0.0000
Mo 0.0000 0.0000 3.9018
Mo 0.0000 2.7880 5.8527
Mo 2.4145 1.3940 1.9509
```

ΔH_f (0 K)	-0.148	eV/atom
polymorph energy (0 for the lowest one)	0.22	eV per formula unit
DOS(E_F)	3.54	states/eV/cell
spin magnetization	0.00	Bohr magnetons per cell